1.
VASP calculation (PBE-GGA) on a relaxed structure of TbCd2Ag.

Structure (extended XYZ):
```
4
Lattice="4.350 -0.062 -2.523 -2.893 4.113 0.019 -0.045 0.062 5.026" Properties=species:S:1:pos:R:3 pbc="T T T"
Cd -1.849 3.392 4.411
Tb 1.083 2.286 -0.623
Cd 2.507 0.260 1.880
Ag -0.379 1.304 1.890
```

Output
Space-group type: I-4m2 (119)
Magnetic moment, μB per formula unit: 0.00
Formation energy, meV/atom: -290
DFT total energy, eV/atom: -2.618

=====

2.
VASP calculation (PBE-GGA) on a relaxed structure of LaY2F11.

Structure (extended XYZ):
```
28
Lattice="-4.968 6.086 3.157 -8.485 -2.002 1.861 -1.156 0.365 8.831" Properties=species:S:1:pos:R:3 pbc="T T T"
F -9.918 2.782 8.255
La -10.957 3.337 10.387
F -11.478 3.883 6.037
F -3.131 0.565 7.812
F -4.691 1.666 5.594
F -4.729 3.149 2.675
F -2.368 0.010 5.185
F 0.000 0.000 0.000
F -8.625 3.965 10.421
F -8.706 4.786 6.301
F -12.241 4.439 8.664
F -7.304 2.224 6.925
Y -5.139 1.715 7.745
F -1.451 0.933 2.436
F -10.866 1.038 6.031
Y -7.881 -0.598 3.674
F -9.577 3.169 3.952
F -5.032 1.280 9.897
F -8.196 1.098 5.217
F -9.880 1.299 11.174
F -13.158 3.516 11.413
F -5.903 -0.337 7.548
F -6.412 3.351 8.632
Y -9.470 2.734 6.104
Y -6.728 5.047 10.175
F -3.742 3.411 7.818
F -5.984 0.484 3.428
La -3.652 1.112 3.462
```

Output
Space-group type: Ibam (72)
Magnetic moment, μB per formula unit: 2.11
DFT total energy, eV/atom: -6.185
Formation energy (no corrections), eV/f.u.: -48.15

=====

3.
VASP calculation (PBE-GGA) on a relaxed structure of CaLaP.

Structure (extended XYZ):
```
3
Lattice="-0.886 2.758 3.561 -3.167 -3.005 -1.419 1.743 -3.217 2.926" Properties=species:S:1:pos:R:3 pbc="T T T"
La -0.974 -0.404 3.029
P -1.153 -3.398 2.345
Ca 1.560 -2.880 2.619
```

Output
Space-group type: P3m1 (156)
Magnetic moment, μB per formula unit: 0.00
Formation energy, meV/atom: -675
DFT total energy, eV/atom: -4.788

=====

4.
VASP calculation (PBE-GGA) on a relaxed structure of ThSiS.

Structure (extended XYZ):
```
6
Lattice="4.131 0.000 0.000 2.065 3.577 0.000 2.065 1.192 10.700" Properties=species:S:1:pos:R:3 pbc="T T T"
Th 4.131 2.385 7.459
Th 4.131 2.385 3.241
S 2.065 1.192 1.782
S 6.196 3.577 8.918
Si 6.196 3.577 5.238
Si 2.065 1.192 5.461
```

Output
Space-group type: R-3m (166)
Magnetic moment, μB per formula unit: 0.00
DFT total energy, eV/atom: -6.879
Formation energy (no corrections), eV/f.u.: -3.67

=====

5.
VASP calculation (PBE-GGA) on a relaxed structure of MnTeP2.

Structure (extended XYZ):
```
4
Lattice="-0.189 -0.265 4.646 -1.071 -4.143 -1.838 3.039 -3.194 1.497" Properties=species:S:1:pos:R:3 pbc="T T T"
P -0.630 -2.204 1.404
Te 1.425 -1.729 3.071
P 0.000 0.000 0.000
Mn 0.984 -3.668 -0.170
```

Output
Space-group type: I4/mmm (139)
Magnetic moment, μB per formula unit: 3.94
DFT total energy, eV/atom: -5.548
Formation energy (no corrections), eV/f.u.: 0.94

=====

6.
VASP calculation (PBE-GGA) on a relaxed structure of LiDy2PaN4.

Structure (extended XYZ):
```
8
Lattice="-2.776 -0.701 -2.083 -3.373 -0.488 4.659 -0.229 5.671 -1.602" Properties=species:S:1:pos:R:3 pbc="T T T"
N -4.097 3.557 1.255
Pa 0.000 0.000 0.000
N -2.726 1.062 3.276
N -0.876 4.121 -0.219
Dy -1.503 2.485 -1.843
Dy -1.801 2.591 1.529
N -2.281 0.925 -0.281
Li -3.074 -0.594 1.288
```

Output
Space-group type: P2/m (10)
Magnetic moment, μB per formula unit: 0.00
DFT total energy, eV/atom: -8.152
Formation energy (no corrections), eV/f.u.: -11.30

=====

7.
VASP calculation (PBE-GGA) on a relaxed structure of Ca2CuBr.

Structure (extended XYZ):
```
4
Lattice="3.626 0.000 0.000 0.000 3.626 0.000 0.000 0.000 7.886" Properties=species:S:1:pos:R:3 pbc="T T T"
Br 1.813 1.813 5.914
Cu 1.813 1.813 1.971
Ca 0.000 0.000 3.664
Ca 0.000 0.000 0.278
```

Output
Distance to the lowest polymorph of the same formula, eV/atom: 0.066
Space-group type: P4/mmm (123)
Magnetic moment, μB per formula unit: 0.00
DFT total energy, eV/atom: -3.099
Formation energy (no corrections), eV/f.u.: -2.62

=====

8.
VASP calculation (PBE-GGA) on a relaxed structure of CaLa2Sb3Pd4.

Structure (extended XYZ):
```
10
Lattice="-3.360 2.591 1.644 -1.439 -3.484 2.550 6.856 3.447 8.580" Properties=species:S:1:pos:R:3 pbc="T T T"
Pd -2.400 -0.446 2.097
Pd 2.740 3.518 6.353
Pd 1.717 -0.517 4.324
La -0.203 2.038 2.670
Sb 4.286 4.295 8.288
Sb 0.170 -1.294 2.389
Pd 0.000 0.000 0.000
Sb 3.428 1.723 4.290
La 4.660 0.963 8.007
Ca 1.028 1.277 6.387
```

Output
Space-group type: P-4m2 (115)
Magnetic moment, μB per formula unit: 0.00
DFT total energy, eV/atom: -5.426
Formation energy (no corrections), eV/f.u.: -9.27

=====

9.
VASP calculation (PBE-GGA) on a relaxed structure of Cd2WCl.

Structure (extended XYZ):
```
4
Lattice="-2.542 -3.974 3.179 2.984 -2.723 4.005 -0.959 5.349 -1.682" Properties=species:S:1:pos:R:3 pbc="T T T"
Cd 0.000 0.000 0.000
Cd 0.221 -3.349 3.592
Cl 1.123 -0.361 2.958
W -1.640 -0.987 2.545
```

Output
Distance to the lowest polymorph of the same formula, eV/atom: 0.835
Space-group type: I4/mmm (139)
Magnetic moment, μB per formula unit: 2.84
DFT total energy, eV/atom: -3.185
Formation energy (no corrections), eV/f.u.: 3.89

=====

10.
VASP calculation (PBE-GGA) on a relaxed structure of Pu2TiVN5.

Structure (extended XYZ):
```
18
Lattice="-0.756 0.099 3.151 -4.427 -4.238 -2.597 6.199 -7.533 1.724" Properties=species:S:1:pos:R:3 pbc="T T T"
N 0.129 -10.011 0.344
N 2.626 -10.630 0.963
Pu 0.439 -3.442 0.213
N -1.504 -2.942 1.399
Pu 1.143 -8.918 2.221
N -0.153 -0.848 -0.010
V -1.676 -7.469 -0.168
Pu -2.957 -4.642 1.103
N -0.741 -5.514 -0.005
N 1.347 -7.304 0.552
N -1.245 -7.890 1.616
Ti -2.005 -1.837 -0.424
N 1.291 -2.152 2.045
N 1.472 -4.789 2.171
V 5.350 -7.434 3.184
N 3.323 -8.061 2.717
Pu 3.215 -6.109 0.963
Ti 0.006 -6.172 1.862
```

Output
Space-group type: Cmc2_1 (36)
Magnetic moment, μB per formula unit: 0.16
DFT total energy, eV/atom: -10.899
Formation energy (no corrections), eV/f.u.: -10.78

=====

11.
VASP calculation (PBE-GGA) on a relaxed structure of Ac3HoIn4.

Structure (extended XYZ):
```
8
Lattice="3.964 0.000 0.000 0.000 3.964 0.000 0.000 0.000 16.507" Properties=species:S:1:pos:R:3 pbc="T T T"
In 0.000 0.000 10.443
In 0.000 0.000 6.063
Ac 1.982 1.982 12.604
Ac 1.982 1.982 8.253
In 0.000 0.000 14.823
Ac 1.982 1.982 3.903
Ho 1.982 1.982 0.000
In 0.000 0.000 1.684
```

Output
Space-group type: P4/mmm (123)
Magnetic moment, μB per formula unit: 0.00
Formation energy, meV/atom: -427
DFT total energy, eV/atom: -3.909

=====

12.
VASP calculation (PBE-GGA) on a relaxed structure of Ho6Hg5Sb.

Structure (extended XYZ):
```
12
Lattice="-4.131 -0.179 3.279 3.240 -8.509 -0.631 5.353 6.815 2.865" Properties=species:S:1:pos:R:3 pbc="T T T"
Hg 2.231 -0.936 2.756
Ho -0.950 -0.557 3.016
Ho 1.460 2.082 1.951
Hg 4.648 1.703 1.699
Ho 3.704 1.140 4.723
Hg 1.547 -5.901 1.623
Sb 0.000 0.000 0.000
Hg 3.945 -3.398 0.535
Hg 2.916 4.028 3.889
Ho 5.412 -1.316 2.496
Ho 0.758 -3.013 0.789
Ho 3.002 -3.955 3.561
```

Output
Space-group type: Immm (71)
Magnetic moment, μB per formula unit: 0.00
DFT total energy, eV/atom: -3.295
Formation energy (no corrections), eV/f.u.: -6.44

=====

13.
VASP calculation (PBE-GGA) on a relaxed structure of AlBiTe2.

Structure (extended XYZ):
```
8
Lattice="7.835 0.000 0.000 0.000 7.835 0.000 3.918 3.918 4.100" Properties=species:S:1:pos:R:3 pbc="T T T"
Bi 7.835 3.918 2.050
Al 3.918 3.918 0.000
Te 5.550 1.959 1.025
Bi 0.000 0.000 0.000
Te 5.876 6.203 3.075
Te 9.794 9.468 3.075
Te 2.285 5.876 1.025
Al 3.918 7.835 2.050
```

Output
Space-group type: I-42d (122)
Magnetic moment, μB per formula unit: 0.00
DFT total energy, eV/atom: -3.498
Formation energy (no corrections), eV/f.u.: -0.09

=====

14.
VASP calculation (PBE-GGA) on a relaxed structure of TlBi2Pb.

Structure (extended XYZ):
```
8
Lattice="7.108 0.000 0.000 0.000 7.108 0.000 3.554 3.554 7.127" Properties=species:S:1:pos:R:3 pbc="T T T"
Tl 3.554 3.554 0.000
Bi 1.801 5.331 1.782
Bi 5.331 5.355 5.345
Pb 7.108 3.554 3.563
Bi 5.308 1.777 1.782
Bi 8.885 8.862 5.345
Tl 3.554 7.108 3.563
Pb 0.000 0.000 0.000
```

Output
Distance to the lowest polymorph of the same formula, eV/atom: 0.199
Space-group type: I-42d (122)
Magnetic moment, μB per formula unit: 0.00
Formation energy, meV/atom: 212
DFT total energy, eV/atom: -3.247

=====

15.
VASP calculation (PBE-GGA) on a relaxed structure of Tm2ZnP.

Structure (extended XYZ):
```
4
Lattice="-1.816 2.865 1.586 -1.302 -0.313 3.497 6.921 4.095 4.949" Properties=species:S:1:pos:R:3 pbc="T T T"
Tm -0.512 3.614 6.148
P 1.901 3.323 5.016
Tm 4.314 3.033 3.883
Zn 0.000 0.000 0.000
```

Output
Space-group type: R-3m (166)
Magnetic moment, μB per formula unit: 0.00
Formation energy, meV/atom: -438
DFT total energy, eV/atom: -4.344

=====

16.
VASP calculation (PBE-GGA) on a relaxed structure of TlTcBiPt2.

Structure (extended XYZ):
```
5
Lattice="5.042 0.000 0.000 0.000 5.125 0.000 0.000 0.000 5.042" Properties=species:S:1:pos:R:3 pbc="T T T"
Pt 2.521 0.000 0.000
Pt 0.000 0.000 2.521
Tc 0.000 2.562 0.000
Tl 0.000 0.000 0.000
Bi 2.521 2.562 2.521
```

Output
Space-group type: P4/mmm (123)
Magnetic moment, μB per formula unit: 2.93
Formation energy, meV/atom: 1350
DFT total energy, eV/atom: -4.389

=====

17.
VASP calculation (PBE-GGA) on a relaxed structure of MgSn3H.

Structure (extended XYZ):
```
5
Lattice="5.417 0.000 0.000 0.000 5.417 0.000 0.000 0.000 5.417" Properties=species:S:1:pos:R:3 pbc="T T T"
H 2.708 2.708 2.708
Sn 0.000 0.000 2.708
Mg 0.000 0.000 0.000
Sn 0.000 2.708 0.000
Sn 2.708 0.000 0.000
```

Output
Distance to the lowest polymorph of the same formula, eV/atom: 0.723
Space-group type: Pm-3m (221)
Magnetic moment, μB per formula unit: 0.48
DFT total energy, eV/atom: -2.486

=====

18.
VASP calculation (PBE-GGA) on a relaxed structure of Ac2BeCuPt6.

Structure (extended XYZ):
```
10
Lattice="-2.118 -1.134 6.034 -1.514 -6.224 -2.328 2.408 -6.166 1.603" Properties=species:S:1:pos:R:3 pbc="T T T"
Pt -0.288 -2.553 0.324
Pt -1.468 -8.729 3.528
Pt 0.690 -10.989 1.418
Pt -1.915 -2.535 3.891
Be -1.816 -3.679 1.853
Ac -0.599 -7.739 0.701
Ac -0.626 -5.785 4.609
Pt 0.243 -4.795 1.781
Pt -0.937 -10.971 4.985
Cu 0.000 0.000 0.000
```

Output
Space-group type: P-1 (2)
Magnetic moment, μB per formula unit: 0.00
Formation energy, meV/atom: -776
DFT total energy, eV/atom: -6.004

=====

19.
VASP calculation (PBE-GGA) on a relaxed structure of MgSeIN2.

Structure (extended XYZ):
```
5
Lattice="4.236 0.000 0.000 0.000 4.236 0.000 0.000 0.000 6.480" Properties=species:S:1:pos:R:3 pbc="T T T"
N 2.118 0.000 0.000
N 0.000 2.118 0.000
Mg 0.000 0.000 0.000
I 0.000 0.000 3.240
Se 2.118 2.118 3.240
```

Output
Distance to the lowest polymorph of the same formula, eV/atom: 0.067
Space-group type: P4/mmm (123)
Magnetic moment, μB per formula unit: 4.42
DFT total energy, eV/atom: -3.356
Formation energy (no corrections), eV/f.u.: 6.50

=====

20.
VASP calculation (PBE-GGA) on a relaxed structure of Y4CrP.

Structure (extended XYZ):
```
6
Lattice="0.000 4.384 4.384 4.384 0.000 4.384 4.384 4.384 0.000" Properties=species:S:1:pos:R:3 pbc="T T T"
Y 5.478 3.289 5.478
Y 3.289 3.289 3.289
P 0.000 0.000 0.000
Cr 6.575 6.575 6.575
Y 3.289 5.478 5.478
Y 5.478 5.478 3.289
```

Output
Space-group type: F-43m (216)
Magnetic moment, μB per formula unit: 5.25
Formation energy, meV/atom: 737
DFT total energy, eV/atom: -6.078

=====

21.
VASP calculation (PBE-GGA) on a relaxed structure of Nd12Y5Er.

Structure (extended XYZ):
```
18
Lattice="-9.949 -1.987 11.599 -10.270 -3.623 0.807 1.749 -4.807 0.676" Properties=species:S:1:pos:R:3 pbc="T T T"
Er 0.000 0.000 0.000
Nd -8.313 -7.339 8.695
Nd -14.257 -6.473 10.538
Nd -10.157 -3.078 4.387
Nd -0.768 -2.732 2.253
Nd -13.356 -3.190 11.860
Y -10.833 -5.264 10.279
Nd -4.212 -3.944 2.544
Nd -3.321 -0.664 3.872
Nd -5.113 -7.227 1.222
Y -4.100 -3.397 6.138
Nd -7.520 -4.604 6.400
Y -7.637 -5.153 2.803
Y -13.479 -3.740 8.271
Nd -4.879 -6.131 8.404
Y -6.740 -1.870 4.135
Nd -10.950 -5.813 6.682
Nd -7.432 -4.062 10.022
```

Output
Space-group type: Cmmm (65)
Magnetic moment, μB per formula unit: 0.00
Formation energy, meV/atom: 18
DFT total energy, eV/atom: -5.210

=====

22.
VASP calculation (PBE-GGA) on a relaxed structure of Hg2OsW.

Structure (extended XYZ):
```
4
Lattice="-2.863 0.661 0.136 -0.740 -2.461 -3.604 -0.862 -4.389 3.174" Properties=species:S:1:pos:R:3 pbc="T T T"
Hg -0.001 -0.003 0.002
Hg -0.431 -2.191 1.584
Os -2.017 -1.997 -0.940
W -2.448 -4.191 0.646
```

Output
Distance to the lowest polymorph of the same formula, eV/atom: 0.679
Space-group type: Pmmm (47)
Magnetic moment, μB per formula unit: 0.00
Formation energy, meV/atom: 1085
DFT total energy, eV/atom: -5.112

=====

23.
VASP calculation (PBE-GGA) on a relaxed structure of PrLu2Tc.

Structure (extended XYZ):
```
4
Lattice="-1.763 -2.801 -3.464 -1.666 -4.364 1.063 -5.835 -0.406 -0.015" Properties=species:S:1:pos:R:3 pbc="T T T"
Pr -4.632 -3.786 -1.208
Lu -1.942 -2.051 -0.667
Tc 0.000 0.000 0.000
Lu -7.323 -5.520 -1.749
```

Output
Distance to the lowest polymorph of the same formula, eV/atom: 0.222
Space-group type: R-3m (166)
Magnetic moment, μB per formula unit: 0.00
Formation energy, meV/atom: 165
DFT total energy, eV/atom: -5.881

=====

24.
VASP calculation (PBE-GGA) on a relaxed structure of Ba4Al2F.

Structure (extended XYZ):
```
7
Lattice="5.586 0.000 0.000 0.000 5.586 0.000 -2.793 -2.793 8.574" Properties=species:S:1:pos:R:3 pbc="T T T"
F 0.000 0.000 0.000
Al 0.000 0.000 6.565
Ba 0.000 0.000 3.190
Al 2.793 2.793 2.009
Ba 2.793 2.793 5.384
Ba 2.793 0.000 0.000
Ba 0.000 2.793 0.000
```

Output
Space-group type: I4/mmm (139)
Magnetic moment, μB per formula unit: 0.00
DFT total energy, eV/atom: -3.226
Formation energy (no corrections), eV/f.u.: -5.53

=====

25.
VASP calculation (PBE-GGA) on a relaxed structure of RuPbN2O.

Structure (extended XYZ):
```
5
Lattice="-1.670 3.284 -2.259 -3.666 -2.227 -0.528 -1.529 1.673 3.563" Properties=species:S:1:pos:R:3 pbc="T T T"
O -0.764 0.836 1.781
N -0.835 1.642 -1.129
Ru -3.432 1.365 0.388
N -1.833 -1.113 -0.264
Pb 0.000 0.000 0.000
```

Output
Space-group type: P4/mmm (123)
Magnetic moment, μB per formula unit: 5.84
DFT total energy, eV/atom: -4.944
Formation energy (no corrections), eV/f.u.: 9.87